The following is a GGA-PBE calculation of a geometry-optimized Ce2UMnS6 structure, from Alexandria.

Results
Its space-group type is R3.

Cell and atoms, written as extended XYZ:
```
10
Lattice="6.913 0.000 0.000 3.457 5.987 0.000 3.456 1.996 6.003" Properties=species:S:1:pos:R:3 pbc="T T T"
Ce 6.913 3.991 2.589
Ce 3.456 1.996 5.520
U 10.370 5.987 3.229
Mn 3.457 1.996 0.271
S 5.638 1.681 1.545
S 5.550 6.251 1.545
S 9.552 4.042 1.545
S 8.125 5.604 4.622
S 7.703 2.135 4.622
S 4.910 4.235 4.622
```


The following is a GGA-PBE calculation of a geometry-optimized GdTmCo2 structure, from Alexandria.

Results
Its space-group type is P4/mmm. The value obtained for the formation energy from the elements is -0.1614 eV/atom.

Cell and atoms, written as extended XYZ:
```
4
Lattice="-0.268 0.286 3.316 1.907 -4.271 0.523 4.286 1.936 0.179" Properties=species:S:1:pos:R:3 pbc="T T T"
Gd -0.134 0.143 1.658
Tm 2.963 -1.024 2.009
Co 2.143 0.968 0.090
Co 0.954 -2.135 0.262
```


The following is a GGA-PBE calculation of a geometry-optimized Pr2YSn structure, from Alexandria.

Results
Its space-group type is P4/mmm. The value obtained for the formation energy from the elements is -0.4383 eV/atom.

Cell and atoms, written as extended XYZ:
```
4
Lattice="5.035 0.000 0.000 0.000 4.895 0.000 0.000 0.000 4.895" Properties=species:S:1:pos:R:3 pbc="T T T"
Pr 0.000 0.000 2.448
Pr 0.000 2.448 0.000
Y 2.518 0.000 0.000
Sn 2.518 2.448 2.448
```


The following is a GGA-PBE calculation of a geometry-optimized Na8BiSb2 structure, from Alexandria.

Results
Its space-group type is Cm.

Cell and atoms, written as extended XYZ:
```
11
Lattice="5.083 0.058 -1.517 -0.986 6.969 -3.019 0.046 -0.133 9.401" Properties=species:S:1:pos:R:3 pbc="T T T"
Na 3.072 1.506 6.888
Na 4.917 0.163 3.863
Na 1.185 2.495 0.740
Na 2.838 6.614 -2.863
Na 0.845 5.995 -0.245
Na 4.319 3.243 1.998
Na 0.299 3.522 6.742
Na 2.006 5.068 3.545
Bi -0.202 6.526 5.463
Sb 3.451 4.283 -0.847
Sb 2.134 1.949 3.908
```


The following is a GGA-PBE calculation of a geometry-optimized SrGe2Pt5Pb structure, from Alexandria.

Results
Its space-group type is P4/mmm. The value obtained for the formation energy from the elements is -0.4719 eV/atom.

Cell and atoms, written as extended XYZ:
```
9
Lattice="-2.018 -1.793 -3.072 3.557 -0.983 -1.763 0.101 -10.254 5.919" Properties=species:S:1:pos:R:3 pbc="T T T"
Sr 0.051 -5.127 2.960
Ge 0.799 -4.414 -0.671
Ge 0.841 -8.616 1.755
Pt 1.797 -2.307 0.167
Pt -0.991 -2.713 -0.488
Pt 1.862 -8.929 3.989
Pt -0.926 -9.335 3.335
Pt 0.820 -6.515 0.542
Pb 0.000 0.000 0.000
```


The following is a GGA-PBE calculation of a geometry-optimized KHfBiCl2 structure, from Alexandria.

Results
Its space-group type is P4/mmm.

Cell and atoms, written as extended XYZ:
```
5
Lattice="-4.142 -2.477 1.701 2.866 -1.497 4.799 -1.614 4.277 2.298" Properties=species:S:1:pos:R:3 pbc="T T T"
K -1.445 0.152 4.399
Hf 0.000 0.000 0.000
Bi 1.433 -0.749 2.399
Cl -0.807 2.139 1.149
Cl -2.071 -1.238 0.851
```


The following is a GGA-PBE calculation of a geometry-optimized Ga7Ni4Ir structure, from Alexandria.

Results
Its space-group type is C2/m. The value obtained for the formation energy from the elements is -0.0863 eV/atom.

Cell and atoms, written as extended XYZ:
```
12
Lattice="4.646 0.000 0.000 2.323 6.180 0.306 2.323 0.529 6.289" Properties=species:S:1:pos:R:3 pbc="T T T"
Ga 6.969 5.720 3.868
Ga 2.323 0.990 2.727
Ga 2.323 4.136 1.796
Ga 6.969 2.573 4.800
Ga 4.646 4.553 4.985
Ga 2.323 0.000 0.000
Ga 4.646 2.157 1.610
Ni 4.646 2.034 4.031
Ni 4.646 4.676 2.564
Ni 6.969 4.447 6.216
Ni 2.323 2.263 0.379
Ir 0.000 0.000 0.000
```


The following is a GGA-PBE calculation of a geometry-optimized Tm2PaTc2 structure, from Alexandria.

Results
Its space-group type is C2/c. The value obtained for the formation energy from the elements is -0.2774 eV/atom.

Cell and atoms, written as extended XYZ:
```
10
Lattice="-3.088 -1.081 4.738 0.681 -5.007 2.760 5.250 2.199 5.640" Properties=species:S:1:pos:R:3 pbc="T T T"
Tm -0.539 -1.289 3.699
Tm -0.207 -2.695 7.125
Tm 3.383 -2.600 9.439
Tm 3.050 -1.194 6.013
Pa 1.519 -3.963 4.419
Pa 1.325 0.073 8.718
Tc 0.434 0.314 6.385
Tc 2.286 -0.240 11.015
Tc 2.410 -4.203 6.752
Tc 0.558 -3.649 2.123
```


| no. | total energy (eV per atom) | DOS at the Fermi energy (states/eV/f.u.) |
| --- | --- | --- |
| 1 | -7.1550 | 18.35 |
| 2 | -8.3525 | 1.37 |
| 3 | -5.4448 | 4.12 |
| 4 | -2.4211 | 8.88 |
| 5 | -5.4529 | 3.29 |
| 6 | -4.6852 | 1.23 |
| 7 | -4.5175 | 5.47 |
| 8 | -8.1116 | 4.77 |